VASP calculation (GGA-PBE) on AgPtAu2 after structural relaxation.

Output
formation enthalpy at 0 K = -0.0170 eV per atom
electronic total energy = -3.879 eV/atom
calculated volume = 17.24 Å³/atom
N(E_F) = 1.49 states/eV/cell
energy above the most stable polymorph in this dataset = 0 meV per atom

```
data_AgPtAu2
_cell_length_a 4.9220
_cell_length_b 4.9220
_cell_length_c 2.9627
_cell_angle_alpha 90.00
_cell_angle_beta 90.00
_cell_angle_gamma 106.10
_space_group_name_H-M_alt 'P 1'
_space_group_IT_number 1
_space_group_name_Hall 'P 1'
loop_
_atom_site_label
_atom_site_type_symbol
_atom_site_fract_x
_atom_site_fract_y
_atom_site_fract_z
Ag1 Ag 0.0000 0.0000 0.0000
Pt1 Pt 0.5000 0.5000 0.0000
Au1 Au 0.0000 0.5000 0.5000
Au2 Au 0.5000 0.0000 0.5000
```



VASP calculation (GGA-PBE) on AgPt2Au7 after structural relaxation.

Output
formation enthalpy at 0 K = 0.3005 eV per atom
electronic total energy = -3.487 eV/atom
calculated volume = 22.66 Å³/atom
N(E_F) = 5.02 states/eV/cell

```
data_AgPt2Au7
_cell_length_a 7.6558
_cell_length_b 7.6558
_cell_length_c 4.5348
_cell_angle_alpha 90.00
_cell_angle_beta 90.00
_cell_angle_gamma 121.51
_space_group_name_H-M_alt 'P 1'
_space_group_IT_number 1
_space_group_name_Hall 'P 1'
loop_
_atom_site_label
_atom_site_type_symbol
_atom_site_fract_x
_atom_site_fract_y
_atom_site_fract_z
Ag1 Ag 0.0000 0.0000 0.0000
Pt1 Pt 0.2992 0.7008 0.5000
Pt2 Pt 0.7008 0.2992 0.5000
Au1 Au 0.0742 0.2927 0.5000
Au2 Au 0.2044 0.7956 0.0000
Au3 Au 0.2927 0.0742 0.5000
Au4 Au 0.5000 0.5000 0.5000
Au5 Au 0.7073 0.9258 0.5000
Au6 Au 0.7956 0.2044 0.0000
Au7 Au 0.9258 0.7073 0.5000
```



VASP calculation (GGA-PBE) on AgPtAu after structural relaxation.

Output
formation enthalpy at 0 K = 0.0265 eV per atom
electronic total energy = -4.030 eV/atom
calculated volume = 17.12 Å³/atom
N(E_F) = 1.82 states/eV/cell
energy above the most stable polymorph in this dataset = 36 meV per atom

```
data_AgPtAu
_cell_length_a 7.7419
_cell_length_b 7.4945
_cell_length_c 2.8172
_cell_angle_alpha 84.34
_cell_angle_beta 74.43
_cell_angle_gamma 21.23
_space_group_name_H-M_alt 'P 1'
_space_group_IT_number 1
_space_group_name_Hall 'P 1'
loop_
_atom_site_label
_atom_site_type_symbol
_atom_site_fract_x
_atom_site_fract_y
_atom_site_fract_z
Ag1 Ag 0.0000 0.0000 0.0000
Pt1 Pt 0.6645 0.6645 0.3355
Au1 Au 0.3327 0.3327 0.6673
```



VASP calculation (GGA-PBE) on AgPtAu3 after structural relaxation.

Output
formation enthalpy at 0 K = 0.0044 eV per atom
electronic total energy = -3.740 eV/atom
calculated volume = 17.46 Å³/atom
N(E_F) = 3.54 states/eV/cell
energy above the most stable polymorph in this dataset = 0 meV per atom

```
data_AgPtAu3
_cell_length_a 4.9605
_cell_length_b 4.9876
_cell_length_c 7.7589
_cell_angle_alpha 84.67
_cell_angle_beta 71.50
_cell_angle_gamma 73.60
_space_group_name_H-M_alt 'P 1'
_space_group_IT_number 1
_space_group_name_Hall 'P 1'
loop_
_atom_site_label
_atom_site_type_symbol
_atom_site_fract_x
_atom_site_fract_y
_atom_site_fract_z
Ag1 Ag 0.1524 0.2502 0.1950
Ag2 Ag 0.8476 0.7498 0.8050
Pt1 Pt 0.3521 0.2504 0.7961
Pt2 Pt 0.6479 0.7496 0.2039
Au1 Au 0.0527 0.7500 0.3942
Au2 Au 0.2516 0.7505 0.9972
Au3 Au 0.4503 0.7501 0.5994
Au4 Au 0.5497 0.2499 0.4006
Au5 Au 0.7484 0.2495 0.0028
Au6 Au 0.9473 0.2500 0.6058
```



VASP calculation (GGA-PBE) on Ag3Pt2Au3 after structural relaxation.

Output
formation enthalpy at 0 K = 0.0035 eV per atom
electronic total energy = -3.805 eV/atom
calculated volume = 17.34 Å³/atom
N(E_F) = 3.30 states/eV/cell
energy above the most stable polymorph in this dataset = 8 meV per atom

```
data_Ag3Pt2Au3
_cell_length_a 4.8196
_cell_length_b 4.8469
_cell_length_c 5.9400
_cell_angle_alpha 90.00
_cell_angle_beta 90.00
_cell_angle_gamma 90.00
_space_group_name_H-M_alt 'P 1'
_space_group_IT_number 1
_space_group_name_Hall 'P 1'
loop_
_atom_site_label
_atom_site_type_symbol
_atom_site_fract_x
_atom_site_fract_y
_atom_site_fract_z
Ag1 Ag 0.0000 0.0000 0.0000
Ag2 Ag 0.5000 0.0000 0.2491
Ag3 Ag 0.5000 0.0000 0.7509
Pt1 Pt 0.0000 0.5000 0.2526
Pt2 Pt 0.0000 0.5000 0.7474
Au1 Au 0.0000 0.0000 0.5000
Au2 Au 0.5000 0.5000 0.0000
Au3 Au 0.5000 0.5000 0.5000
```



VASP calculation (GGA-PBE) on Ag6Pt2Au after structural relaxation.

Output
formation enthalpy at 0 K = 0.0622 eV per atom
electronic total energy = -3.545 eV/atom
calculated volume = 17.65 Å³/atom
N(E_F) = 2.65 states/eV/cell
energy above the most stable polymorph in this dataset = 50 meV per atom

```
data_Ag6Pt2Au
_cell_length_a 8.2962
_cell_length_b 8.2962
_cell_length_c 8.2962
_cell_angle_alpha 160.54
_cell_angle_beta 123.00
_cell_angle_gamma 60.82
_space_group_name_H-M_alt 'P 1'
_space_group_IT_number 1
_space_group_name_Hall 'P 1'
loop_
_atom_site_label
_atom_site_type_symbol
_atom_site_fract_x
_atom_site_fract_y
_atom_site_fract_z
Ag1 Ag 0.1528 0.8279 0.3249
Ag2 Ag 0.1728 0.0000 0.1728
Ag3 Ag 0.4971 0.1721 0.3249
Ag4 Ag 0.5029 0.8279 0.6751
Ag5 Ag 0.8272 0.0000 0.8272
Ag6 Ag 0.8472 0.1721 0.6751
Pt1 Pt 0.1533 0.6533 0.5000
Pt2 Pt 0.8467 0.3467 0.5000
Au1 Au 0.5000 0.5000 0.0000
```



VASP calculation (GGA-PBE) on Ag8Pt2Au after structural relaxation.

Output
formation enthalpy at 0 K = 0.0066 eV per atom
electronic total energy = -3.463 eV/atom
calculated volume = 17.38 Å³/atom
N(E_F) = 4.06 states/eV/cell
energy above the most stable polymorph in this dataset = 0 meV per atom

```
data_Ag8Pt2Au
_cell_length_a 7.7370
_cell_length_b 7.7370
_cell_length_c 6.4590
_cell_angle_alpha 103.92
_cell_angle_beta 103.92
_cell_angle_gamma 30.70
_space_group_name_H-M_alt 'P 1'
_space_group_IT_number 1
_space_group_name_Hall 'P 1'
loop_
_atom_site_label
_atom_site_type_symbol
_atom_site_fract_x
_atom_site_fract_y
_atom_site_fract_z
Ag1 Ag 0.0482 0.0482 0.2279
Ag2 Ag 0.1377 0.1377 0.6866
Ag3 Ag 0.3161 0.3161 0.5893
Ag4 Ag 0.4071 0.4071 0.0420
Ag5 Ag 0.5929 0.5929 0.9580
Ag6 Ag 0.6839 0.6839 0.4107
Ag7 Ag 0.8623 0.8623 0.3134
Ag8 Ag 0.9518 0.9518 0.7721
Pt1 Pt 0.2285 0.2285 0.1301
Pt2 Pt 0.7715 0.7715 0.8699
Au1 Au 0.5000 0.5000 0.5000
```



VASP calculation (GGA-PBE) on Ag14PtAu after structural relaxation.

Output
formation enthalpy at 0 K = 0.0167 eV per atom
electronic total energy = -3.061 eV/atom
calculated volume = 17.75 Å³/atom
N(E_F) = 5.85 states/eV/cell

```
data_Ag14PtAu
_cell_length_a 9.6032
_cell_length_b 5.8647
_cell_length_c 5.8647
_cell_angle_alpha 59.31
_cell_angle_beta 90.00
_cell_angle_gamma 90.00
_space_group_name_H-M_alt 'P 1'
_space_group_IT_number 1
_space_group_name_Hall 'P 1'
loop_
_atom_site_label
_atom_site_type_symbol
_atom_site_fract_x
_atom_site_fract_y
_atom_site_fract_z
Ag1 Ag 0.0000 0.0000 0.0000
Ag2 Ag 0.0000 0.9998 0.4996
Ag3 Ag 0.0000 0.4996 0.9998
Ag4 Ag 0.0000 0.5001 0.5001
Ag5 Ag 0.2480 0.3351 0.3351
Ag6 Ag 0.2507 0.8339 0.8339
Ag7 Ag 0.2518 0.3364 0.8336
Ag8 Ag 0.2518 0.8336 0.3364
Ag9 Ag 0.5000 0.1697 0.6691
Ag10 Ag 0.5000 0.6691 0.1697
Ag11 Ag 0.7482 0.3364 0.8336
Ag12 Ag 0.7482 0.8336 0.3364
Ag13 Ag 0.7493 0.8339 0.8339
Ag14 Ag 0.7520 0.3351 0.3351
Pt1 Pt 0.5000 0.6699 0.6699
Au1 Au 0.5000 0.1704 0.1704
```



VASP calculation (GGA-PBE) on AgPtAu after structural relaxation.

Output
formation enthalpy at 0 K = -0.0093 eV per atom
electronic total energy = -4.066 eV/atom
calculated volume = 17.01 Å³/atom
N(E_F) = 1.89 states/eV/cell
energy above the most stable polymorph in this dataset = 0 meV per atom

```
data_AgPtAu
_cell_length_a 2.8484
_cell_length_b 2.8484
_cell_length_c 7.2608
_cell_angle_alpha 90.00
_cell_angle_beta 90.00
_cell_angle_gamma 120.00
_space_group_name_H-M_alt 'P 1'
_space_group_IT_number 1
_space_group_name_Hall 'P 1'
loop_
_atom_site_label
_atom_site_type_symbol
_atom_site_fract_x
_atom_site_fract_y
_atom_site_fract_z
Ag1 Ag 0.0000 0.0000 0.0000
Pt1 Pt 0.3333 0.6667 0.6730
Au1 Au 0.6667 0.3333 0.3369
```



VASP calculation (GGA-PBE) on Ag7Pt2Au2 after structural relaxation.

Output
formation enthalpy at 0 K = 0.0689 eV per atom
electronic total energy = -3.440 eV/atom
calculated volume = 18.11 Å³/atom
N(E_F) = 4.02 states/eV/cell
energy above the most stable polymorph in this dataset = 16 meV per atom

```
data_Ag7Pt2Au2
_cell_length_a 5.3932
_cell_length_b 5.3932
_cell_length_c 6.9719
_cell_angle_alpha 97.35
_cell_angle_beta 97.35
_cell_angle_gamma 91.73
_space_group_name_H-M_alt 'P 1'
_space_group_IT_number 1
_space_group_name_Hall 'P 1'
loop_
_atom_site_label
_atom_site_type_symbol
_atom_site_fract_x
_atom_site_fract_y
_atom_site_fract_z
Ag1 Ag 0.0000 0.0000 0.0000
Ag2 Ag 0.0858 0.4624 0.7988
Ag3 Ag 0.3938 0.3938 0.1448
Ag4 Ag 0.4624 0.0858 0.7988
Ag5 Ag 0.5376 0.9142 0.2012
Ag6 Ag 0.6062 0.6062 0.8552
Ag7 Ag 0.9142 0.5376 0.2012
Pt1 Pt 0.3204 0.6796 0.5000
Pt2 Pt 0.6796 0.3204 0.5000
Au1 Au 0.1615 0.1615 0.4282
Au2 Au 0.8385 0.8385 0.5718
```



VASP calculation (GGA-PBE) on AgPtAu2 after structural relaxation.

Output
formation enthalpy at 0 K = 0.2522 eV per atom
electronic total energy = -3.609 eV/atom
calculated volume = 18.92 Å³/atom
N(E_F) = 2.91 states/eV/cell
energy above the most stable polymorph in this dataset = 269 meV per atom

```
data_AgPtAu2
_cell_length_a 10.1549
_cell_length_b 10.1549
_cell_length_c 10.1549
_cell_angle_alpha 157.65
_cell_angle_beta 157.65
_cell_angle_gamma 31.82
_space_group_name_H-M_alt 'P 1'
_space_group_IT_number 1
_space_group_name_Hall 'P 1'
loop_
_atom_site_label
_atom_site_type_symbol
_atom_site_fract_x
_atom_site_fract_y
_atom_site_fract_z
Ag1 Ag 0.0000 0.0000 0.0000
Ag2 Ag 0.7500 0.2500 0.5000
Pt1 Pt 0.2500 0.7500 0.5000
Pt2 Pt 0.5000 0.5000 0.0000
Au1 Au 0.1295 0.6250 0.0045
Au2 Au 0.3750 0.3795 0.5045
Au3 Au 0.6205 0.1250 0.9955
Au4 Au 0.8750 0.8705 0.4955
```